First-principles (PBE+U) data for a relaxed structure of TiFeMoO6, as listed in Alexandria.

Cell lengths 4.755, 4.755, 9.014 Å; angles 90.00, 90.00, 90.00 degrees
Fractional positions:
Ti  0.000  0.000  0.000
Ti  0.500  0.500  0.500
Fe  0.000  0.000  0.671
Fe  0.500  0.500  0.171
Mo  0.000  0.000  0.340
Mo  0.500  0.500  0.840
O  0.187  0.187  0.172
O  0.207  0.207  0.487
O  0.209  0.209  0.850
O  0.291  0.709  0.350
O  0.293  0.707  0.987
O  0.313  0.687  0.672
O  0.687  0.313  0.672
O  0.707  0.293  0.987
O  0.709  0.291  0.350
O  0.791  0.791  0.850
O  0.793  0.793  0.487
O  0.813  0.813  0.172

Values from the calculation:
Total energy   -7.606 eV/atom
Mass density   4.8 Mg/m³
SG   P4_2nm